(1)
## PmMgGaSn (PBE)

Data for a relaxed PmMgGaSn crystal.

The structure in POSCAR format:
```
PmMgGaSn
1.0
0.0000 3.6616 3.6616
3.6616 0.0000 3.6616
3.6616 3.6616 0.0000
Pm Mg Ga Sn
1 1 1 1
Cartesian
0.0000 0.0000 0.0000
3.6616 3.6616 3.6616
5.4924 5.4924 5.4924
1.8308 1.8308 1.8308
```

Output
- Symmetry: F-43m, No. 216
- Density: 6.05 Mg/m³
- ΔE to the lowest computed polymorph: 0.69 eV/f.u.
- Formation energy: -0.332 eV/atom



(2)
## CuAg2BOs (PBE)

Data for a relaxed CuAg2BOs crystal.

The structure in POSCAR format:
```
CuAg2BOs
1.0
5.1455 0.0000 0.0000
0.0000 5.1455 0.0000
0.0000 0.0000 3.8782
Cu Ag B Os
1 2 1 1
Cartesian
0.0000 0.0000 0.0000
0.0000 2.5728 1.9391
2.5728 0.0000 1.9391
2.5728 2.5728 0.0000
2.5728 2.5728 1.9391
```

Output
- Symmetry: P4/mmm, No. 123
- Density: 7.77 Mg/m³
- Formation energy: 1.414 eV/atom



(3)
## Cs4Tl3Cl10 (PBE)

Data for a relaxed Cs4Tl3Cl10 crystal.

The structure in POSCAR format:
```
Cs4Tl3Cl10
1.0
-2.7854 2.7854 19.9336
2.7854 -2.7854 19.9336
2.7854 2.7854 -19.9336
Cs Tl Cl
4 3 10
Cartesian
0.0000 0.0000 2.7473
0.0000 0.0000 8.0095
0.0000 0.0000 31.8578
0.0000 0.0000 37.1199
0.0000 0.0000 14.2667
0.0000 0.0000 19.9336
0.0000 0.0000 25.6006
2.7854 0.0000 0.0000
2.7854 0.0000 5.5594
0.0000 0.0000 11.4671
2.7854 0.0000 14.3743
0.0000 0.0000 17.1737
0.0000 2.7854 0.0000
0.0000 0.0000 22.6935
0.0000 2.7854 5.5594
0.0000 0.0000 28.4002
0.0000 2.7854 14.3743
```

Output
- Symmetry: I4/mmm, No. 139
- E_form (uncorrected): -1.377 eV per atom
- Density: 4.02 Mg/m³



(4)
## TbSm5Mg (PBE)

Data for a relaxed TbSm5Mg crystal.

The structure in POSCAR format:
```
TbSm5Mg
1.0
4.3289 -4.8136 0.0000
4.3289 4.8136 0.0000
-4.2969 0.0000 11.0092
Tb Sm Mg
2 10 2
Cartesian
1.1062 2.4535 8.2569
3.2546 -2.4535 2.7523
-0.8037 0.8682 5.9180
3.2546 3.7599 2.7523
1.3448 -0.8682 0.4134
1.8859 0.6335 3.8028
-0.2626 -0.6335 9.3074
4.6234 0.6335 1.7018
2.4749 -0.6335 7.2065
3.0160 0.8682 10.5958
1.1062 -3.7599 8.2569
5.1644 -0.8682 5.0912
2.1644 2.4068 0.0000
0.0160 -2.4068 5.5046
```

Output
- Symmetry: C2/c, No. 15
- Density: 6.77 Mg/m³
- Formation energy: 0.107 eV/atom



(5)
## TiMnSe2N (PBE)

Data for a relaxed TiMnSe2N crystal.

The structure in POSCAR format:
```
TiMnSe2N
1.0
5.0978 0.0000 0.0000
0.0000 5.0978 0.0000
0.0000 0.0000 3.7469
Ti Mn Se N
1 1 2 1
Cartesian
0.0000 0.0000 0.0000
2.5489 2.5489 1.8734
0.0000 2.5489 0.0000
2.5489 0.0000 0.0000
0.0000 0.0000 1.8734
```

Output
- Symmetry: P4/mmm, No. 123
- E_form (uncorrected): -0.035 eV per atom
- Density: 4.69 Mg/m³
- ΔE to the lowest computed polymorph: 0.00 eV/f.u.



(6)
## NiSn2W (PBE)

Data for a relaxed NiSn2W crystal.

The structure in POSCAR format:
```
NiSn2W
1.0
1.5212 0.8782 9.5442
-1.5212 0.8782 9.5442
0.0000 -1.7565 9.5442
Ni Sn W
1 2 1
Cartesian
0.0000 0.0000 0.0000
0.0000 0.0000 11.5230
0.0000 0.0000 17.1096
0.0000 0.0000 14.3163
```

Output
- Symmetry: R-3m, No. 166
- Density: 10.42 Mg/m³
- ΔE to the lowest computed polymorph: 0.28 eV/f.u.
- Formation energy: 0.588 eV/atom



What is the density in the first record? 6.05 Mg/m³



density of number 2 (CuAg2BOs)? 7.77 Mg/m³



Among the records above, which one has the lowest density? Cs4Tl3Cl10